This record from Alexandria describes a geometry-optimized ZnPt2Rh8 structure. The functional is GGA-PBE.

* energy relative to the elements: -0.0680 eV/atom
* total moment: 0.00 μB per formula unit
* theoretical density: 13.39 g/cm3

Structure (CIF):
```
data_ZnPt2Rh8
_cell_length_a 13.9133
_cell_length_b 3.8696
_cell_length_c 6.1077
_cell_angle_alpha 90.00
_cell_angle_beta 105.25
_cell_angle_gamma 90.00
_space_group_name_H-M_alt 'C 1 2/m 1'
_space_group_IT_number 12
loop_
_space_group_symop_operation_xyz
'x,y,z'
'-x,-y,-z'
'-x,y,-z'
'x,-y,z'
'x+1/2,y+1/2,z'
'-x+1/2,-y+1/2,-z'
'-x+1/2,y+1/2,-z'
'x+1/2,-y+1/2,z'
loop_
_atom_site_label
_atom_site_type_symbol
_atom_site_fract_x
_atom_site_fract_y
_atom_site_fract_z
_atom_site_occupancy
Zn1 Zn 0.0000 0.0000 0.0000 1
Pt1 Pt 0.2262 0.5000 0.6404 1
Rh1 Rh 0.0437 0.5000 0.7270 1
Rh2 Rh 0.0890 0.0000 0.4538 1
Rh3 Rh 0.1358 0.5000 0.1811 1
Rh4 Rh 0.1795 0.0000 0.9102 1
```